[1]
First-principles (PBE) data for a relaxed structure of TcAs2Cl, as listed in Alexandria.

```
TcAs2Cl
1.0
8.132 -0.012 -0.007
7.482 3.185 -0.007
7.482 1.520 2.798
Cl As Tc
1 2 1
direct
0.250 0.250 0.250
0.489 0.489 0.489
0.011 0.011 0.011
0.750 0.750 0.750
```

Output
Total magnetic moment = 0.00 μB per atom
Uncorrected energy = -21.82 eV/cell


[2]
First-principles (PBE) data for a relaxed structure of Tc2AsCl, as listed in Alexandria.

```
Tc2AsCl
1.0
-5.518 2.137 -5.451
-7.130 0.327 -3.713
-6.769 3.190 -2.956
Tc As Cl
2 1 1
direct
0.997 0.997 0.997
0.503 0.503 0.503
0.250 0.250 0.250
0.750 0.750 0.750
```

Output
Total magnetic moment = 0.00 μB per atom
Uncorrected energy = -26.18 eV/cell


[3]
First-principles (PBE) data for a relaxed structure of TcAs2Cl, as listed in Alexandria.

```
TcAs2Cl
1.0
-2.699 -1.206 0.000
0.110 -0.247 2.944
-3.674 8.218 0.825
As Tc Cl
2 1 1
direct
0.500 0.500 0.213
0.000 0.000 0.936
0.500 0.500 0.765
0.000 0.000 0.586
```

Output
Total magnetic moment = 0.00 μB per atom
Uncorrected energy = -20.54 eV/cell


[4]
First-principles (PBE) data for a relaxed structure of TiTc2AsCl, as listed in Alexandria.

```
TiTc2AsCl
1.0
-3.382 -1.292 3.057
1.440 -4.222 -0.192
2.947 0.840 3.615
Tc Cl As Ti
2 1 1 1
direct
0.000 0.000 0.500
0.500 0.000 0.000
0.000 0.500 0.000
0.500 0.500 0.500
0.000 0.000 0.000
```

Output
Total magnetic moment = 0.56 μB per atom
Uncorrected energy = -29.96 eV/cell


[5]
First-principles (PBE) data for a relaxed structure of TcAsW2Cl, as listed in Alexandria.

```
TcAsW2Cl
1.0
4.712 0.000 0.000
0.000 4.654 0.000
0.000 0.000 4.712
Tc W As Cl
1 2 1 1
direct
0.000 0.500 0.000
0.500 0.000 0.000
0.000 0.000 0.500
0.000 0.000 0.000
0.500 0.500 0.500
```

Output
Total magnetic moment = 0.14 μB per atom
Uncorrected energy = -33.35 eV/cell


[6]
First-principles (PBE) data for a relaxed structure of Te2AsCl, as listed in Alexandria.

```
Te2AsCl
1.0
-2.050 -3.479 0.016
4.235 -2.470 5.435
-2.537 1.508 2.662
Te As Cl
2 1 1
direct
0.500 0.500 0.000
0.000 0.000 0.000
0.500 0.000 0.500
0.000 0.500 0.500
```

Output
Total magnetic moment = 0.00 μB per atom
Uncorrected energy = -11.51 eV/cell


[7]
First-principles (PBE) data for a relaxed structure of Te2AsCl, as listed in Alexandria.

```
Te2AsCl
1.0
-2.431 -2.075 2.292
0.593 -2.526 -1.658
6.197 0.634 7.147
Cl Te As
1 2 1
direct
0.500 0.750 0.750
0.000 0.489 0.488
0.000 0.011 0.012
0.500 0.250 0.250
```

Output
Total magnetic moment = 0.00 μB per atom
Uncorrected energy = -12.67 eV/cell


[8]
First-principles (PBE) data for a relaxed structure of TeAsCl2, as listed in Alexandria.

```
TeAsCl2
1.0
5.839 0.000 0.000
0.000 7.551 -0.984
0.000 -1.909 15.172
Cl As Te
8 4 4
direct
0.274 0.156 0.510
0.726 0.844 0.490
0.375 0.075 0.128
0.774 0.344 0.990
0.226 0.656 0.010
0.625 0.925 0.872
0.875 0.425 0.372
0.125 0.575 0.628
0.022 0.704 0.411
0.978 0.296 0.589
0.522 0.796 0.089
0.478 0.204 0.911
0.967 0.811 0.261
0.467 0.689 0.239
0.533 0.311 0.761
0.033 0.189 0.739
```

Output
Total magnetic moment = 0.00 μB per atom
Uncorrected energy = -52.46 eV/cell